1.
Sc4CdGaHg2 PBE relaxed; total DFT energy (no corrections) = -33.33 eV for the cell shown
1.0
2.470 1.426 8.052
-2.470 1.426 8.052
0.000 -2.852 8.052
Sc Cd Ga Hg
4 1 1 2
Direct
0.120 0.120 0.120 Sc
0.371 0.371 0.371 Sc
0.629 0.629 0.629 Sc
0.880 0.880 0.880 Sc
0.500 0.500 0.500 Cd
0.000 0.000 0.000 Ga
0.244 0.244 0.244 Hg
0.756 0.756 0.756 Hg

=====

2.
ScCdGaHg PBE relaxed; E above lowest polymorph = 0.214 eV per formula unit; total DFT energy (no corrections) = -11.56 eV for the cell shown
1.0
0.000 3.462 3.462
3.462 0.000 3.462
3.462 3.462 0.000
Sc Cd Ga Hg
1 1 1 1
Direct
0.000 0.000 0.000 Sc
0.500 0.500 0.500 Cd
0.250 0.250 0.250 Ga
0.750 0.750 0.750 Hg

=====

no.,formation energy from the elements (eV per formula unit)
1,-3.5
2,-1.0